No. 1
# K2InPb (PBE, relaxed)
data_K2InPb
_space_group_name_H-M_alt 'C m c m'
_space_group_IT_number 63
_space_group_name_Hall '-C 2c 2'
_cell_length_a 11.140
_cell_length_b 8.760
_cell_length_c 6.513
_cell_angle_alpha 90.00
_cell_angle_beta 90.00
_cell_angle_gamma 90.00
loop_
_atom_site_label
_atom_site_type_symbol
_atom_site_fract_x
_atom_site_fract_y
_atom_site_fract_z
K1 K 0.175 0.157 0.250
In1 In 0.000 0.500 0.000
Pb1 Pb 0.000 0.210 0.750
# Calculated density, g/cm³: 4.2
# Energy relative to the elements, meV per atom: -139
# Fermi-level density of states, states/eV/cell: 7.53
# Energy above the lowest structure with this stoichiometry, meV per atom: 0
# Total magnetic moment, μB per formula unit: 0.0

***

No. 2
# K2InPb (PBE, relaxed)
data_K2InPb
_space_group_name_H-M_alt 'I -4 2 d'
_space_group_IT_number 122
_space_group_name_Hall 'I -4 2bw'
_cell_length_a 9.973
_cell_length_b 9.973
_cell_length_c 6.460
_cell_angle_alpha 90.00
_cell_angle_beta 90.00
_cell_angle_gamma 90.00
loop_
_atom_site_label
_atom_site_type_symbol
_atom_site_fract_x
_atom_site_fract_y
_atom_site_fract_z
K1 K 0.250 0.250 0.125
In1 In 0.000 0.000 0.000
Pb1 Pb 0.000 0.000 0.500
# Calculated density, g/cm³: 4.1
# Energy relative to the elements, meV per atom: 116
# Fermi-level density of states, states/eV/cell: 11.74
# Energy above the lowest structure with this stoichiometry, meV per atom: 255
# Total magnetic moment, μB per formula unit: 0.0

***

No. 3
# K3In2Pb5 (PBE, relaxed)
data_K3In2Pb5
_space_group_name_H-M_alt 'I b a m'
_space_group_IT_number 72
_space_group_name_Hall '-I 2 2c'
_cell_length_a 13.406
_cell_length_b 15.758
_cell_length_c 7.337
_cell_angle_alpha 90.00
_cell_angle_beta 90.00
_cell_angle_gamma 90.00
loop_
_atom_site_label
_atom_site_type_symbol
_atom_site_fract_x
_atom_site_fract_y
_atom_site_fract_z
K1 K 0.000 0.000 0.250
K2 K 0.226 0.373 0.000
In1 In 0.150 0.137 0.000
Pb1 Pb 0.000 0.235 0.250
Pb2 Pb 0.000 0.500 0.250
Pb3 Pb 0.127 0.368 0.500
# Calculated density, g/cm³: 5.9
# Energy relative to the elements, meV per atom: -46
# Fermi-level density of states, states/eV/cell: 19.94
# Total magnetic moment, μB per formula unit: 0.0

***

No. 4
# K2InPb (PBE, relaxed)
data_K2InPb
_space_group_name_H-M_alt 'P 4 m m'
_space_group_IT_number 99
_space_group_name_Hall 'P 4 -2'
_cell_length_a 3.971
_cell_length_b 3.971
_cell_length_c 10.622
_cell_angle_alpha 90.00
_cell_angle_beta 90.00
_cell_angle_gamma 90.00
loop_
_atom_site_label
_atom_site_type_symbol
_atom_site_fract_x
_atom_site_fract_y
_atom_site_fract_z
K1 K 0.000 0.000 0.000
K2 K 0.500 0.500 0.385
In1 In 0.500 0.500 0.779
Pb1 Pb 0.000 0.000 0.616
# Calculated density, g/cm³: 4.0
# Energy relative to the elements, meV per atom: -71
# Fermi-level density of states, states/eV/cell: 2.03
# Energy above the lowest structure with this stoichiometry, meV per atom: 67
# Total magnetic moment, μB per formula unit: 0.0

***

No. 5
# KIn2Pb (PBE, relaxed)
data_KIn2Pb
_space_group_name_H-M_alt 'P 4/m m m'
_space_group_IT_number 123
_space_group_name_Hall '-P 4 2'
_cell_length_a 4.930
_cell_length_b 4.930
_cell_length_c 5.040
_cell_angle_alpha 90.00
_cell_angle_beta 90.00
_cell_angle_gamma 90.00
loop_
_atom_site_label
_atom_site_type_symbol
_atom_site_fract_x
_atom_site_fract_y
_atom_site_fract_z
K1 K 0.000 0.000 0.000
In1 In 0.000 0.500 0.500
Pb1 Pb 0.500 0.500 0.000
# Calculated density, g/cm³: 6.5
# Energy relative to the elements, meV per atom: 7
# Fermi-level density of states, states/eV/cell: 2.79
# Total magnetic moment, μB per formula unit: 0.0

***

No. 6
# K2InPb (PBE, relaxed)
data_K2InPb
_space_group_name_H-M_alt 'C 1 2/m 1'
_space_group_IT_number 12
_space_group_name_Hall '-C 2y'
_cell_length_a 6.690
_cell_length_b 11.428
_cell_length_c 3.780
_cell_angle_alpha 90.00
_cell_angle_beta 90.53
_cell_angle_gamma 90.00
loop_
_atom_site_label
_atom_site_type_symbol
_atom_site_fract_x
_atom_site_fract_y
_atom_site_fract_z
K1 K 0.250 0.250 0.000
In1 In 0.000 0.000 0.500
Pb1 Pb 0.000 0.500 0.500
# Calculated density, g/cm³: 4.6
# Energy relative to the elements, meV per atom: 11
# Fermi-level density of states, states/eV/cell: 4.47
# Energy above the lowest structure with this stoichiometry, meV per atom: 150
# Total magnetic moment, μB per formula unit: 0.0

***

No. 7
# KIn2Pb (PBE, relaxed)
data_KIn2Pb
_space_group_name_H-M_alt 'C m m m'
_space_group_IT_number 65
_space_group_name_Hall '-C 2 2'
_cell_length_a 6.355
_cell_length_b 11.688
_cell_length_c 3.346
_cell_angle_alpha 90.00
_cell_angle_beta 90.00
_cell_angle_gamma 90.00
loop_
_atom_site_label
_atom_site_type_symbol
_atom_site_fract_x
_atom_site_fract_y
_atom_site_fract_z
K1 K 0.000 0.000 0.000
In1 In 0.250 0.250 0.500
Pb1 Pb 0.000 0.500 0.500
# Calculated density, g/cm³: 6.4
# Energy relative to the elements, meV per atom: -8
# Fermi-level density of states, states/eV/cell: 5.53
# Total magnetic moment, μB per formula unit: 0.0

***

No. 8
# K2In2Pb (PBE, relaxed)
data_K2In2Pb
_space_group_name_H-M_alt 'C 1 2/m 1'
_space_group_IT_number 12
_space_group_name_Hall '-C 2y'
_cell_length_a 7.755
_cell_length_b 10.966
_cell_length_c 9.272
_cell_angle_alpha 90.00
_cell_angle_beta 105.79
_cell_angle_gamma 90.00
loop_
_atom_site_label
_atom_site_type_symbol
_atom_site_fract_x
_atom_site_fract_y
_atom_site_fract_z
K1 K 0.229 0.170 0.197
In1 In 0.123 0.500 0.407
In2 In 0.189 0.000 0.824
Pb1 Pb 0.000 0.152 0.500
# Calculated density, g/cm³: 4.5
# Energy relative to the elements, meV per atom: -55
# Fermi-level density of states, states/eV/cell: 11.93
# Energy above the lowest structure with this stoichiometry, meV per atom: 21
# Total magnetic moment, μB per formula unit: 0.0

***

no.,total energy (eV/atom)
1,-2.299
2,-2.044
3,-2.777
4,-2.232
5,-2.564
6,-2.149
7,-2.578
8,-2.331